1.
VASP calculation (GGA-PBE) on a relaxed Ac8ZnRh2 crystal.

Its crystal system is monoclinic. The energy of formation comes out at -4.80 kcal/mol of atoms. Its density of states at the Fermi level is 25.38 states/eV/cell.

It has space group Cm (No. 8), with a = 8.932 Å, b = 14.302 Å, c = 6.596 Å, α = 90.00°, β = 106.46° and γ = 90.00°. The asymmetric unit holds Ac at (0.000, 0.000, 0.000), Ac at (0.083, 0.369, 0.776), Ac at (0.148, 0.131, 0.583), Ac at (0.240, 0.500, 0.379), Ac at (0.360, 0.222, 0.187), Zn at (0.368, 0.000, 0.357) and Rh at (0.364, 0.293, 0.678).

***

2.
VASP calculation (GGA-PBE) on a relaxed AgPdC3 crystal.

Its crystal system is cubic. The energy of formation comes out at 74.72 kcal/mol of atoms. Its density of states at the Fermi level is 2.99 states/eV/cell. For the energy above the most stable polymorph in this dataset, the calculation gives 0.512 eV/atom.

It has space group Pm-3m (No. 221), with a = 4.101 Å, b = 4.101 Å, c = 4.101 Å, α = 90.00°, β = 90.00° and γ = 90.00°. The asymmetric unit holds Ag at (0.000, 0.000, 0.000), Pd at (0.500, 0.500, 0.500) and C at (0.000, 0.000, 0.500).

***

3.
VASP calculation (GGA-PBE) on a relaxed Na2HPdAu crystal.

Its crystal system is tetragonal. Its density of states at the Fermi level is 1.11 states/eV/cell. For the energy above the most stable polymorph in this dataset, the calculation gives 0.000 eV/atom.

It has space group P4/mmm (No. 123), with a = 4.948 Å, b = 4.948 Å, c = 3.487 Å, α = 90.00°, β = 90.00° and γ = 90.00°. The asymmetric unit holds Na at (0.000, 0.500, 0.000), H at (0.000, 0.000, 0.000), Pd at (0.000, 0.000, 0.500) and Au at (0.500, 0.500, 0.500).

***

4.
VASP calculation (GGA-PBE) on a relaxed SrInIN2 crystal.

The value obtained for the uncorrected formation energy is 3.22 eV/f.u. Its crystal system is tetragonal. Its density of states at the Fermi level is 3.52 states/eV/cell. For the energy above the most stable polymorph in this dataset, the calculation gives 0.000 eV/atom.

It has space group P4/mmm (No. 123), with a = 4.470 Å, b = 4.470 Å, c = 6.317 Å, α = 90.00°, β = 90.00° and γ = 90.00°. The asymmetric unit holds Sr at (0.000, 0.000, 0.000), In at (0.500, 0.500, 0.500), I at (0.500, 0.500, 0.000) and N at (0.000, 0.500, 0.500).

***

5.
VASP calculation (GGA-PBE) on a relaxed Al2FeBr crystal.

The value obtained for the uncorrected formation energy is 1.55 eV/f.u. Its crystal system is monoclinic. Its density of states at the Fermi level is 2.42 states/eV/cell. For the energy above the most stable polymorph in this dataset, the calculation gives 0.465 eV/atom.

It has space group P2/m (No. 10), with a = 3.150 Å, b = 4.838 Å, c = 4.815 Å, α = 90.00°, β = 96.40° and γ = 90.00°. The asymmetric unit holds Al at (0.202, 0.000, 0.268), Fe at (0.500, 0.500, 0.500) and Br at (0.500, 0.500, 0.000).

***

6.
VASP calculation (GGA-PBE) on a relaxed Ho2MgCd crystal.

Its crystal system is trigonal. The energy of formation comes out at -0.54 kcal/mol of atoms. Its density of states at the Fermi level is 14.30 states/eV/cell.

It has space group R3m (No. 160, hexagonal axes), with a = 3.4854 Å, b = 3.4854 Å, c = 31.7287 Å, α = 90.00°, β = 90.00° and γ = 120.00°. The asymmetric unit holds Ho at (0.0000, 0.0000, 0.0000), Ho at (0.0000, 0.0000, 0.1737), Mg at (0.0000, 0.0000, 0.4204) and Cd at (0.0000, 0.0000, 0.5869).

***

7.
VASP calculation (GGA-PBE) on a relaxed MgZn2Sn2Au5 crystal.

Its crystal system is tetragonal. The energy of formation comes out at -4.16 kcal/mol of atoms. Its density of states at the Fermi level is 7.06 states/eV/cell.

It has space group P4/mbm (No. 127), with a = 10.155 Å, b = 10.155 Å, c = 3.824 Å, α = 90.00°, β = 90.00° and γ = 90.00°. The asymmetric unit holds Mg at (0.000, 0.000, 0.000), Zn at (0.134, 0.366, 0.000), Sn at (0.176, 0.676, 0.000), Au at (0.000, 0.500, 0.500) and Au at (0.018, 0.206, 0.500).

***

8.
VASP calculation (GGA-PBE) on a relaxed BeTcAu2 crystal.

Its crystal system is tetragonal. The energy of formation comes out at 2.06 kcal/mol of atoms. Its density of states at the Fermi level is 3.75 states/eV/cell.

It has space group P4mm (No. 99), with a = 2.823 Å, b = 2.823 Å, c = 7.357 Å, α = 90.00°, β = 90.00° and γ = 90.00°. The asymmetric unit holds Be at (0.000, 0.000, 0.000), Tc at (0.500, 0.500, 0.200), Au at (0.000, 0.000, 0.480) and Au at (0.500, 0.500, 0.795).